Entry 1:
VASP calculation (PBE-GGA) on a relaxed structure of SrCd2PtAu.

Computed properties:
Total DFT energy (no corrections), eV/atom: -3.1091
Total magnetic moment, μB per cell: 0.00

```
data_SrCd2PtAu
_cell_length_a 4.347
_cell_length_b 4.347
_cell_length_c 12.714
_cell_angle_alpha 90.00
_cell_angle_beta 90.00
_cell_angle_gamma 90.00
_space_group_name_H-M_alt 'I 4 m m'
_space_group_IT_number 107
_space_group_name_Hall 'I 4 -2'
loop_
_atom_site_label
_atom_site_type_symbol
_atom_site_fract_x
_atom_site_fract_y
_atom_site_fract_z
Sr1 Sr 0.000 0.000 0.000
Cd1 Cd 0.000 0.500 0.238
Pt1 Pt 0.000 0.000 0.599
Au1 Au 0.000 0.000 0.389
```



Entry 2:
VASP calculation (PBE-GGA) on a relaxed structure of Tb2TmCd3Pt2Au.

Computed properties:
Total DFT energy (no corrections), eV/atom: -4.3519
Total magnetic moment, μB per cell: 0.03
E_form, eV/atom: -0.8188

```
data_Tb2TmCd3Pt2Au
_cell_length_a 3.870
_cell_length_b 13.285
_cell_length_c 7.709
_cell_angle_alpha 90.00
_cell_angle_beta 90.00
_cell_angle_gamma 90.00
_space_group_name_H-M_alt 'A m m 2'
_space_group_IT_number 38
_space_group_name_Hall 'A 2 -2'
loop_
_atom_site_label
_atom_site_type_symbol
_atom_site_fract_x
_atom_site_fract_y
_atom_site_fract_z
Tb1 Tb 0.000 0.204 0.000
Tm1 Tm 0.000 0.000 0.388
Cd1 Cd 0.500 0.000 0.060
Cd2 Cd 0.500 0.132 0.664
Pt1 Pt 0.500 0.165 0.298
Au1 Au 0.000 0.000 0.794
```



Entry 3:
VASP calculation (PBE-GGA) on a relaxed structure of PuCdAu.

Computed properties:
Total DFT energy (no corrections), eV/atom: -6.4832
Total magnetic moment, μB per cell: 5.72
E_form, eV/atom: -0.3870

```
data_PuCdAu
_cell_length_a 4.9930
_cell_length_b 4.9930
_cell_length_c 3.0930
_cell_angle_alpha 90.00
_cell_angle_beta 90.00
_cell_angle_gamma 120.00
_space_group_name_H-M_alt 'P -6 m 2'
_space_group_IT_number 187
_space_group_name_Hall 'P -6 2'
loop_
_atom_site_label
_atom_site_type_symbol
_atom_site_fract_x
_atom_site_fract_y
_atom_site_fract_z
Pu1 Pu 0.0000 0.0000 0.0000
Cd1 Cd 0.3333 0.6667 0.5000
Au1 Au 0.6667 0.3333 0.5000
```



Entry 4:
VASP calculation (PBE-GGA) on a relaxed structure of RbCd2Au.

Computed properties:
Total DFT energy (no corrections), eV/atom: -1.7159

```
data_RbCd2Au
_cell_length_a 4.760
_cell_length_b 12.687
_cell_length_c 8.359
_cell_angle_alpha 90.00
_cell_angle_beta 90.00
_cell_angle_gamma 90.00
_space_group_name_H-M_alt 'C m c m'
_space_group_IT_number 63
_space_group_name_Hall '-C 2c 2'
loop_
_atom_site_label
_atom_site_type_symbol
_atom_site_fract_x
_atom_site_fract_y
_atom_site_fract_z
Rb1 Rb 0.000 0.042 0.250
Cd1 Cd 0.000 0.315 0.069
Au1 Au 0.000 0.235 0.750
```



Entry 5:
VASP calculation (PBE-GGA) on a relaxed structure of Rb2CdAu.

Computed properties:
Total DFT energy (no corrections), eV/atom: -1.7316

```
data_Rb2CdAu
_cell_length_a 4.9317
_cell_length_b 4.9317
_cell_length_c 26.7232
_cell_angle_alpha 90.00
_cell_angle_beta 90.00
_cell_angle_gamma 120.00
_space_group_name_H-M_alt 'R 3 m'
_space_group_IT_number 160
_space_group_name_Hall 'R 3 -2"'
loop_
_atom_site_label
_atom_site_type_symbol
_atom_site_fract_x
_atom_site_fract_y
_atom_site_fract_z
Rb1 Rb 0.0000 0.0000 0.0000
Rb2 Rb 0.0000 0.0000 0.1754
Cd1 Cd 0.0000 0.0000 0.4211
Au1 Au 0.0000 0.0000 0.7544
```



Entry 6:
VASP calculation (PBE-GGA) on a relaxed structure of Rb2Cd3Au2.

Computed properties:
Total DFT energy (no corrections), eV/atom: -1.8261

```
data_Rb2Cd3Au2
_cell_length_a 12.784
_cell_length_b 4.779
_cell_length_c 8.385
_cell_angle_alpha 90.00
_cell_angle_beta 122.34
_cell_angle_gamma 90.00
_space_group_name_H-M_alt 'C 1 2/m 1'
_space_group_IT_number 12
_space_group_name_Hall '-C 2y'
loop_
_atom_site_label
_atom_site_type_symbol
_atom_site_fract_x
_atom_site_fract_y
_atom_site_fract_z
Rb1 Rb 0.139 0.000 0.270
Cd1 Cd 0.000 0.500 0.500
Cd2 Cd 0.160 0.500 0.925
Au1 Au 0.120 0.000 0.700
```



Entry 7:
VASP calculation (PBE-GGA) on a relaxed structure of RbCd6Au4.

Computed properties:
Total DFT energy (no corrections), eV/atom: -1.9762

```
data_RbCd6Au4
_cell_length_a 8.0117
_cell_length_b 8.0117
_cell_length_c 4.6526
_cell_angle_alpha 90.00
_cell_angle_beta 90.00
_cell_angle_gamma 120.00
_space_group_name_H-M_alt 'P -6 m 2'
_space_group_IT_number 187
_space_group_name_Hall 'P -6 2'
loop_
_atom_site_label
_atom_site_type_symbol
_atom_site_fract_x
_atom_site_fract_y
_atom_site_fract_z
Rb1 Rb 0.0000 0.0000 0.0000
Cd1 Cd 0.0705 0.5353 0.0000
Cd2 Cd 0.4016 0.2008 0.5000
Au1 Au 0.2072 0.4144 0.5000
Au2 Au 0.6667 0.3333 0.0000
```



Entry 8:
VASP calculation (PBE-GGA) on a relaxed structure of RbCdSiAu.

Computed properties:
Total DFT energy (no corrections), eV/atom: -2.2325
Relative energy among the computed polymorphs, kJ/mol of atoms: 0.0

```
data_RbCdSiAu
_cell_length_a 7.358
_cell_length_b 7.358
_cell_length_c 7.358
_cell_angle_alpha 90.00
_cell_angle_beta 90.00
_cell_angle_gamma 90.00
_space_group_name_H-M_alt 'F -4 3 m'
_space_group_IT_number 216
_space_group_name_Hall 'F -4 2 3'
loop_
_atom_site_label
_atom_site_type_symbol
_atom_site_fract_x
_atom_site_fract_y
_atom_site_fract_z
Rb1 Rb 0.000 0.000 0.000
Cd1 Cd 0.250 0.250 0.250
Si1 Si 0.000 0.000 0.500
Au1 Au 0.250 0.250 0.750
```



Entry 9:
VASP calculation (PBE-GGA) on a relaxed structure of RbCdSiAu.

Computed properties:
Total DFT energy (no corrections), eV/atom: -2.2066
Relative energy among the computed polymorphs, kJ/mol of atoms: 2.5

```
data_RbCdSiAu
_cell_length_a 7.245
_cell_length_b 7.245
_cell_length_c 7.245
_cell_angle_alpha 90.00
_cell_angle_beta 90.00
_cell_angle_gamma 90.00
_space_group_name_H-M_alt 'F -4 3 m'
_space_group_IT_number 216
_space_group_name_Hall 'F -4 2 3'
loop_
_atom_site_label
_atom_site_type_symbol
_atom_site_fract_x
_atom_site_fract_y
_atom_site_fract_z
Rb1 Rb 0.000 0.000 0.000
Cd1 Cd 0.250 0.250 0.750
Si1 Si 0.250 0.250 0.250
Au1 Au 0.000 0.000 0.500
```



Entry 10:
VASP calculation (PBE-GGA) on a relaxed structure of CdReAu.

Computed properties:
Total DFT energy (no corrections), eV/atom: -4.4611
Relative energy among the computed polymorphs, kJ/mol of atoms: 0.0
Total magnetic moment, μB per cell: 8.04
E_form, eV/atom: 1.0672

```
data_CdReAu
_cell_length_a 6.277
_cell_length_b 6.277
_cell_length_c 6.277
_cell_angle_alpha 90.00
_cell_angle_beta 90.00
_cell_angle_gamma 90.00
_space_group_name_H-M_alt 'F -4 3 m'
_space_group_IT_number 216
_space_group_name_Hall 'F -4 2 3'
loop_
_atom_site_label
_atom_site_type_symbol
_atom_site_fract_x
_atom_site_fract_y
_atom_site_fract_z
Cd1 Cd 0.000 0.000 0.000
Re1 Re 0.000 0.000 0.500
Au1 Au 0.250 0.250 0.250
```



Entry 11:
VASP calculation (PBE-GGA) on a relaxed structure of CdReAu2.

Computed properties:
Total DFT energy (no corrections), eV/atom: -4.2870
Total magnetic moment, μB per cell: 9.25
E_form, eV/atom: 0.6759

```
data_CdReAu2
_cell_length_a 6.588
_cell_length_b 6.588
_cell_length_c 6.588
_cell_angle_alpha 90.00
_cell_angle_beta 90.00
_cell_angle_gamma 90.00
_space_group_name_H-M_alt 'F -4 3 m'
_space_group_IT_number 216
_space_group_name_Hall 'F -4 2 3'
loop_
_atom_site_label
_atom_site_type_symbol
_atom_site_fract_x
_atom_site_fract_y
_atom_site_fract_z
Cd1 Cd 0.000 0.000 0.000
Re1 Re 0.250 0.250 0.750
Au1 Au 0.000 0.000 0.500
Au2 Au 0.250 0.250 0.250
```



Entry 12:
VASP calculation (PBE-GGA) on a relaxed structure of CdSnAu2SeS3.

Computed properties:
Total DFT energy (no corrections), eV/atom: -3.6308

```
data_CdSnAu2SeS3
_cell_length_a 8.419
_cell_length_b 8.283
_cell_length_c 7.209
_cell_angle_alpha 90.00
_cell_angle_beta 125.23
_cell_angle_gamma 90.00
_space_group_name_H-M_alt 'C 1 m 1'
_space_group_IT_number 8
_space_group_name_Hall 'C -2y'
loop_
_atom_site_label
_atom_site_type_symbol
_atom_site_fract_x
_atom_site_fract_y
_atom_site_fract_z
Cd1 Cd 0.000 0.000 0.000
Sn1 Sn 0.004 0.500 0.998
Au1 Au 0.486 0.230 0.473
Se1 Se 0.128 0.000 0.734
S1 S 0.122 0.500 0.753
S2 S 0.129 0.259 0.252
```



Entry 13:
VASP calculation (PBE-GGA) on a relaxed structure of TmCdAuS3.

Computed properties:
Total DFT energy (no corrections), eV/atom: -4.4246
Total magnetic moment, μB per cell: 0.01

```
data_TmCdAuS3
_cell_length_a 7.458
_cell_length_b 3.831
_cell_length_c 9.049
_cell_angle_alpha 90.00
_cell_angle_beta 99.64
_cell_angle_gamma 90.00
_space_group_name_H-M_alt 'P 1 21/m 1'
_space_group_IT_number 11
_space_group_name_Hall '-P 2yb'
loop_
_atom_site_label
_atom_site_type_symbol
_atom_site_fract_x
_atom_site_fract_y
_atom_site_fract_z
Tm1 Tm 0.179 0.250 0.177
Cd1 Cd 0.305 0.750 0.772
Au1 Au 0.370 0.750 0.472
S1 S 0.092 0.250 0.865
S2 S 0.161 0.250 0.467
S3 S 0.423 0.750 0.159
```



Entry 14:
VASP calculation (PBE-GGA) on a relaxed structure of CdSb2Au.

Computed properties:
Total DFT energy (no corrections), eV/atom: -2.9316

```
data_CdSb2Au
_cell_length_a 7.296
_cell_length_b 7.296
_cell_length_c 7.296
_cell_angle_alpha 90.00
_cell_angle_beta 90.00
_cell_angle_gamma 90.00
_space_group_name_H-M_alt 'F -4 3 m'
_space_group_IT_number 216
_space_group_name_Hall 'F -4 2 3'
loop_
_atom_site_label
_atom_site_type_symbol
_atom_site_fract_x
_atom_site_fract_y
_atom_site_fract_z
Cd1 Cd 0.000 0.000 0.000
Sb1 Sb 0.000 0.000 0.500
Sb2 Sb 0.250 0.250 0.750
Au1 Au 0.250 0.250 0.250
```



Entry 15:
VASP calculation (PBE-GGA) on a relaxed structure of CdSbAu.

Computed properties:
Total DFT energy (no corrections), eV/atom: -2.6884

```
data_CdSbAu
_cell_length_a 4.4848
_cell_length_b 4.4848
_cell_length_c 8.5718
_cell_angle_alpha 90.00
_cell_angle_beta 90.00
_cell_angle_gamma 120.00
_space_group_name_H-M_alt 'P 63 m c'
_space_group_IT_number 186
_space_group_name_Hall 'P 6c -2c'
loop_
_atom_site_label
_atom_site_type_symbol
_atom_site_fract_x
_atom_site_fract_y
_atom_site_fract_z
Cd1 Cd 0.3333 0.6667 0.0000
Sb1 Sb 0.3333 0.6667 0.3356
Au1 Au 0.0000 0.0000 0.1916
```



Entry 16:
VASP calculation (PBE-GGA) on a relaxed structure of CdSbAu.

Computed properties:
Total DFT energy (no corrections), eV/atom: -2.7042

```
data_CdSbAu
_cell_length_a 7.5462
_cell_length_b 7.5462
_cell_length_c 4.3473
_cell_angle_alpha 90.00
_cell_angle_beta 90.00
_cell_angle_gamma 120.00
_space_group_name_H-M_alt 'P -6 2 m'
_space_group_IT_number 189
_space_group_name_Hall 'P -6 -2'
loop_
_atom_site_label
_atom_site_type_symbol
_atom_site_fract_x
_atom_site_fract_y
_atom_site_fract_z
Cd1 Cd 0.0000 0.5815 0.0000
Sb1 Sb 0.0000 0.0000 0.0000
Sb2 Sb 0.3333 0.6667 0.5000
Au1 Au 0.0000 0.2585 0.5000
```



Entry 17:
VASP calculation (PBE-GGA) on a relaxed structure of CdSbAu.

Computed properties:
Total DFT energy (no corrections), eV/atom: -2.5752

```
data_CdSbAu
_cell_length_a 5.1327
_cell_length_b 5.1327
_cell_length_c 5.9391
_cell_angle_alpha 90.00
_cell_angle_beta 90.00
_cell_angle_gamma 120.00
_space_group_name_H-M_alt 'P 63/m m c'
_space_group_IT_number 194
_space_group_name_Hall '-P 6c 2c'
loop_
_atom_site_label
_atom_site_type_symbol
_atom_site_fract_x
_atom_site_fract_y
_atom_site_fract_z
Cd1 Cd 0.3333 0.6667 0.2500
Sb1 Sb 0.3333 0.6667 0.7500
Au1 Au 0.0000 0.0000 0.0000
```



Entry 18:
VASP calculation (PBE-GGA) on a relaxed structure of CdSbAu.

Computed properties:
Total DFT energy (no corrections), eV/atom: -2.8128

```
data_CdSbAu
_cell_length_a 7.457
_cell_length_b 4.132
_cell_length_c 8.822
_cell_angle_alpha 90.00
_cell_angle_beta 90.00
_cell_angle_gamma 90.00
_space_group_name_H-M_alt 'P n m a'
_space_group_IT_number 62
_space_group_name_Hall '-P 2ac 2n'
loop_
_atom_site_label
_atom_site_type_symbol
_atom_site_fract_x
_atom_site_fract_y
_atom_site_fract_z
Cd1 Cd 0.125 0.250 0.063
Sb1 Sb 0.065 0.250 0.666
Au1 Au 0.233 0.250 0.367
```



Entry 19:
VASP calculation (PBE-GGA) on a relaxed structure of CdSbAu.

Computed properties:
Total DFT energy (no corrections), eV/atom: -2.6651

```
data_CdSbAu
_cell_length_a 4.6593
_cell_length_b 4.6593
_cell_length_c 8.0491
_cell_angle_alpha 90.00
_cell_angle_beta 90.00
_cell_angle_gamma 120.00
_space_group_name_H-M_alt 'P 63/m m c'
_space_group_IT_number 194
_space_group_name_Hall '-P 6c 2c'
loop_
_atom_site_label
_atom_site_type_symbol
_atom_site_fract_x
_atom_site_fract_y
_atom_site_fract_z
Cd1 Cd 0.0000 0.0000 0.0000
Sb1 Sb 0.3333 0.6667 0.2500
Au1 Au 0.3333 0.6667 0.7500
```



Entry 20:
VASP calculation (PBE-GGA) on a relaxed structure of CdSbAu.

Computed properties:
Total DFT energy (no corrections), eV/atom: -2.6229

```
data_CdSbAu
_cell_length_a 7.9475
_cell_length_b 7.9475
_cell_length_c 3.9006
_cell_angle_alpha 90.00
_cell_angle_beta 90.00
_cell_angle_gamma 120.00
_space_group_name_H-M_alt 'P -6 2 m'
_space_group_IT_number 189
_space_group_name_Hall 'P -6 -2'
loop_
_atom_site_label
_atom_site_type_symbol
_atom_site_fract_x
_atom_site_fract_y
_atom_site_fract_z
Cd1 Cd 0.0000 0.2800 0.0000
Sb1 Sb 0.0000 0.0000 0.5000
Sb2 Sb 0.3333 0.6667 0.0000
Au1 Au 0.0000 0.6027 0.5000
```